[1]
Below is an optimized crystal structure of LiAgCl2, with properties calculated at the PBE level.

Lattice parameters (Å, degrees): 6.964 6.964 6.964 130.70 130.70 72.30
Element x y z (fractional)
1 Li 0.000 0.000 0.000
2 Li 0.750 0.250 0.500
3 Ag 0.250 0.750 0.500
4 Ag 0.500 0.500 0.000
5 Cl 0.091 0.125 0.466
6 Cl 0.375 0.909 0.034
7 Cl 0.659 0.625 0.534
8 Cl 0.875 0.341 0.966

Properties
- Space group: No. 122
- E: -3.248 eV per atom
- Density: 3.25 Mg/m³

---

[2]
Below is an optimized crystal structure of RbPaIn, with properties calculated at the PBE level.

Lattice parameters (Å, degrees): 5.538 5.538 5.538 60.00 60.00 60.00
Element x y z (fractional)
1 Rb 0.000 0.000 0.000
2 Pa 0.500 0.500 0.500
3 In 0.750 0.750 0.750

Properties
- Polymorph energy (0 for the lowest one): 0.0 meV/atom
- Space group: No. 216
- E: -3.253 eV per atom
- Density: 5.96 Mg/m³
- Total magnetization: 1.617 μB/f.u.

---

Please write out number 1 again, unchanged.
Below is an optimized crystal structure of LiAgCl2, with properties calculated at the PBE level.

Lattice parameters (Å, degrees): 6.964 6.964 6.964 130.70 130.70 72.30
Element x y z (fractional)
1 Li 0.000 0.000 0.000
2 Li 0.750 0.250 0.500
3 Ag 0.250 0.750 0.500
4 Ag 0.500 0.500 0.000
5 Cl 0.091 0.125 0.466
6 Cl 0.375 0.909 0.034
7 Cl 0.659 0.625 0.534
8 Cl 0.875 0.341 0.966

Properties
- Space group: No. 122
- E: -3.248 eV per atom
- Density: 3.25 Mg/m³

---

- Which value of density does entry 1 give?
  3.25 Mg/m³